Material: PmDy2Pu3Se6
Method: DFT, PBE
State: relaxed

Unit cell a=9.230 b=9.230 c=8.260 alpha=102.57 beta=102.57 gamma=25.80
Positions (direct):
Pm 0.000 0.000 0.000
Dy 0.333 0.333 0.665
Dy 0.667 0.667 0.335
Pu 0.000 0.000 0.500
Pu 0.335 0.335 0.165
Pu 0.665 0.665 0.835
Se 0.168 0.168 0.582
Se 0.169 0.169 0.089
Se 0.498 0.498 0.745
Se 0.502 0.502 0.255
Se 0.831 0.831 0.911
Se 0.832 0.832 0.418

- formation energy (no corrections) (meV per atom) = -1676
- total moment (Bohr magnetons per cell) = 5.80